## UPdSe2 (GGA-PBE)

Data for UPdSe2 after structural relaxation.

Cell lengths 4.154, 7.534, 6.184 Å; angles 90.00, 92.65, 90.00 degrees
Atoms (fractional coordinates):
U: 0.245 0.250 0.403
U: 0.755 0.750 0.597
Pd: 0.488 0.250 0.974
Pd: 0.512 0.750 0.026
Se: 0.261 0.510 0.741
Se: 0.261 0.990 0.741
Se: 0.739 0.010 0.259
Se: 0.739 0.490 0.259

Calculated values
Volume = 193 Å³ per cell
Distance to the lowest polymorph of the same formula = 125 meV/atom
Size of the total moment = 4.2 Bohr magnetons per cell